! NaZn2InS4 | the Alexandria database | GGA-PBE | optimized geometry; values from VASP
! - Calculated total energy: -0.135 Ha/atom
! - Total magnetic moment: 0.00 μB/cell
&SYSTEM
  ibrav = 0, nat = 8, ntyp = 4
/
ATOMIC_SPECIES
Na 22.99 Na.upf
Zn 65.41 Zn.upf
In 114.82 In.upf
S 32.06 S.upf
CELL_PARAMETERS angstrom
-2.871 2.871 5.672
2.871 -2.871 5.672
2.871 2.871 -5.672
ATOMIC_POSITIONS angstrom
Na 0.000 0.000 0.000
Zn 2.871 0.000 2.836
Zn 0.000 2.871 2.836
In 0.000 0.000 5.672
S 1.507 1.507 -1.584
S 1.365 -1.365 7.256
S 1.365 1.365 4.088
S -1.365 1.365 7.256

***

! RbPCO2 | the Alexandria database | GGA-PBE | optimized geometry; values from VASP
! - Polymorph energy (0 for the lowest one): 0 meV/atom
! - Calculated total energy: -0.155 Ha/atom
! - Total magnetic moment: 0.00 μB/cell
&SYSTEM
  ibrav = 0, nat = 5, ntyp = 4
/
ATOMIC_SPECIES
Rb 85.47 Rb.upf
P 30.97 P.upf
C 12.01 C.upf
O 16.00 O.upf
CELL_PARAMETERS angstrom
4.435 0.000 0.000
0.000 4.435 0.000
0.000 0.000 3.546
ATOMIC_POSITIONS angstrom
Rb 0.000 0.000 0.000
P 2.218 2.218 0.000
C 2.218 2.218 1.773
O 0.000 2.218 1.773
O 2.218 0.000 1.773

***

! PaMnSnSe4 | the Alexandria database | GGA-PBE | optimized geometry; values from VASP
! - Calculated total energy: -0.218 Ha/atom
! - Total magnetic moment: 7.46 μB/cell
&SYSTEM
  ibrav = 0, nat = 14, ntyp = 4
/
ATOMIC_SPECIES
Pa 231.04 Pa.upf
Mn 54.94 Mn.upf
Sn 118.71 Sn.upf
Se 78.96 Se.upf
CELL_PARAMETERS angstrom
6.782 0.000 0.000
0.000 6.403 0.000
-2.833 0.000 8.150
ATOMIC_POSITIONS angstrom
Pa 1.500 1.601 0.435
Pa 2.449 4.802 7.715
Mn -0.689 4.802 6.770
Mn 4.637 1.601 1.380
Sn 0.388 1.601 4.360
Sn 3.560 4.802 3.790
Se -0.440 3.269 1.804
Se -0.440 6.336 1.804
Se 1.092 4.802 5.068
Se 2.788 4.802 0.954
Se 1.161 1.601 7.196
Se 2.856 1.601 3.082
Se 4.388 0.068 6.346
Se 4.388 3.134 6.346

***

! MgTl | the Alexandria database | GGA-PBE | optimized geometry; values from VASP
! - Energy of formation from the pure elements: 503 meV per atom
! - Calculated total energy: -0.054 Ha/atom
! - Total magnetic moment: 0.00 μB/cell
&SYSTEM
  ibrav = 0, nat = 12, ntyp = 2
/
ATOMIC_SPECIES
Mg 24.30 Mg.upf
Tl 204.38 Tl.upf
CELL_PARAMETERS angstrom
8.224 0.000 0.000
0.000 8.224 0.000
0.000 0.000 8.224
ATOMIC_POSITIONS angstrom
Mg 0.000 2.056 4.112
Mg 0.000 6.168 4.112
Mg 2.056 4.112 0.000
Mg 4.112 0.000 2.056
Mg 4.112 0.000 6.168
Mg 6.168 4.112 0.000
Tl 0.000 4.112 2.056
Tl 0.000 4.112 6.168
Tl 2.056 0.000 4.112
Tl 4.112 2.056 0.000
Tl 4.112 6.168 0.000
Tl 6.168 0.000 4.112

***

! NpTePd | the Alexandria database | GGA-PBE | optimized geometry; values from VASP
! - Polymorph energy (0 for the lowest one): 284 meV/atom
! - Calculated total energy: -0.265 Ha/atom
! - Total magnetic moment: 3.28 μB/cell
&SYSTEM
  ibrav = 0, nat = 6, ntyp = 3
/
ATOMIC_SPECIES
Np 237.00 Np.upf
Te 127.60 Te.upf
Pd 106.42 Pd.upf
CELL_PARAMETERS angstrom
7.097 -1.784 0.000
7.097 1.784 0.000
-1.398 0.000 5.661
ATOMIC_POSITIONS angstrom
Np 0.353 0.000 2.341
Np 12.443 0.000 3.319
Te 0.528 0.000 5.360
Te 12.268 0.000 0.300
Pd 3.109 0.000 3.890
Pd 9.687 0.000 1.770

***

! Ti4MoPt2 | the Alexandria database | GGA-PBE | optimized geometry; values from VASP
! - Energy of formation from the pure elements: 219 meV per atom
! - Calculated total energy: -0.278 Ha/atom
! - Total magnetic moment: 0.00 μB/cell
&SYSTEM
  ibrav = 0, nat = 7, ntyp = 3
/
ATOMIC_SPECIES
Ti 47.87 Ti.upf
Mo 95.94 Mo.upf
Pt 195.08 Pt.upf
CELL_PARAMETERS angstrom
-2.292 2.292 6.497
2.292 -2.292 6.497
2.292 2.292 -6.497
ATOMIC_POSITIONS angstrom
Ti 2.292 0.000 0.000
Ti 0.000 0.000 2.512
Ti 0.000 2.292 0.000
Ti 0.000 0.000 10.482
Mo 0.000 0.000 0.000
Pt 0.000 0.000 4.984
Pt 0.000 0.000 8.010